Record 1
# GGA-PBE Mg8InPb2, optimized geometry
# - N(E_F): 0.314 states/eV/atom
# - Symmetry: No. 71
# - Formation energy: -0.02 eV/atom
# - VASP energy: -2.10 eV per atom
data_Mg8InPb2
_chemical_formula_sum 'Mg8 In1 Pb2'
_space_group_name_H-M_alt 'P 1'
_space_group_IT_number 1
_cell_length_a 4.855
_cell_length_b 7.778
_cell_length_c 8.527
_cell_angle_alpha 117.13
_cell_angle_beta 106.54
_cell_angle_gamma 90.00
loop_
_space_group_symop_operation_xyz
'x,y,z'
loop_
_atom_site_label
_atom_site_type_symbol
_atom_site_fract_x
_atom_site_fract_y
_atom_site_fract_z
_atom_site_occupancy
Mg1 Mg 0.656 0.891 0.312 1
Mg2 Mg 0.344 0.579 0.688 1
Mg3 Mg 0.156 0.156 0.313 1
Mg4 Mg 0.000 0.277 0.000 1
Mg5 Mg 0.844 0.844 0.687 1
Mg6 Mg 0.656 0.421 0.312 1
Mg7 Mg 0.344 0.109 0.688 1
Mg8 Mg 0.000 0.723 0.000 1
In1 In 0.500 0.000 0.000 1
Pb1 Pb 0.178 0.678 0.356 1
Pb2 Pb 0.822 0.322 0.644 1

---

Record 2
# GGA-PBE Zn3Sn12Ge5, optimized geometry
# - N(E_F): 0.475 states/eV/atom
# - Symmetry: No. 230
# - Formation energy: 0.18 eV/atom
# - VASP energy: -3.57 eV per atom
data_Zn3Sn12Ge5
_chemical_formula_sum 'Zn12 Sn48 Ge20'
_space_group_name_H-M_alt 'P 1'
_space_group_IT_number 1
_cell_length_a 14.275
_cell_length_b 14.275
_cell_length_c 14.275
_cell_angle_alpha 109.47
_cell_angle_beta 109.47
_cell_angle_gamma 109.47
loop_
_space_group_symop_operation_xyz
'x,y,z'
loop_
_atom_site_label
_atom_site_type_symbol
_atom_site_fract_x
_atom_site_fract_y
_atom_site_fract_z
_atom_site_occupancy
Zn1 Zn 0.750 0.375 0.125 1
Zn2 Zn 0.875 0.750 0.125 1
Zn3 Zn 0.375 0.750 0.625 1
Zn4 Zn 0.250 0.125 0.375 1
Zn5 Zn 0.875 0.125 0.250 1
Zn6 Zn 0.375 0.625 0.250 1
Zn7 Zn 0.625 0.375 0.750 1
Zn8 Zn 0.125 0.875 0.750 1
Zn9 Zn 0.750 0.875 0.625 1
Zn10 Zn 0.625 0.250 0.375 1
Zn11 Zn 0.125 0.250 0.875 1
Zn12 Zn 0.250 0.625 0.875 1
Ge1 Ge 0.125 0.375 0.250 1
Ge2 Ge 0.000 0.500 0.000 1
Ge3 Ge 0.000 0.000 0.000 1
Ge4 Ge 0.375 0.250 0.125 1
Ge5 Ge 0.500 0.000 0.500 1
Ge6 Ge 0.500 0.500 0.000 1
Ge7 Ge 0.125 0.750 0.375 1
Ge8 Ge 0.750 0.125 0.875 1
Ge9 Ge 0.750 0.625 0.375 1
Ge10 Ge 0.375 0.125 0.750 1
Ge11 Ge 0.625 0.875 0.250 1
Ge12 Ge 0.500 0.500 0.500 1
Ge13 Ge 0.500 0.000 0.000 1
Ge14 Ge 0.000 0.000 0.500 1
Ge15 Ge 0.250 0.375 0.625 1
Ge16 Ge 0.250 0.875 0.125 1
Ge17 Ge 0.000 0.500 0.500 1
Ge18 Ge 0.875 0.250 0.625 1
Ge19 Ge 0.625 0.750 0.875 1
Ge20 Ge 0.875 0.625 0.750 1
Sn1 Sn 0.736 0.126 0.061 1
Sn2 Sn 0.325 0.561 0.436 1
Sn3 Sn 0.939 0.374 0.264 1
Sn4 Sn 0.561 0.236 0.126 1
Sn5 Sn 0.611 0.736 0.675 1
Sn6 Sn 0.939 0.564 0.175 1
Sn7 Sn 0.325 0.764 0.389 1
Sn8 Sn 0.064 0.889 0.126 1
Sn9 Sn 0.564 0.939 0.675 1
Sn10 Sn 0.736 0.611 0.175 1
Sn11 Sn 0.764 0.439 0.374 1
Sn12 Sn 0.825 0.936 0.061 1
Sn13 Sn 0.126 0.736 0.561 1
Sn14 Sn 0.374 0.436 0.111 1
Sn15 Sn 0.111 0.936 0.374 1
Sn16 Sn 0.389 0.126 0.564 1
Sn17 Sn 0.111 0.175 0.236 1
Sn18 Sn 0.439 0.675 0.064 1
Sn19 Sn 0.825 0.889 0.264 1
Sn20 Sn 0.126 0.389 0.064 1
Sn21 Sn 0.374 0.939 0.764 1
Sn22 Sn 0.564 0.626 0.389 1
Sn23 Sn 0.936 0.825 0.561 1
Sn24 Sn 0.764 0.325 0.889 1
Sn25 Sn 0.436 0.374 0.611 1
Sn26 Sn 0.064 0.175 0.439 1
Sn27 Sn 0.236 0.675 0.111 1
Sn28 Sn 0.175 0.111 0.736 1
Sn29 Sn 0.626 0.061 0.236 1
Sn30 Sn 0.874 0.611 0.936 1
Sn31 Sn 0.561 0.325 0.936 1
Sn32 Sn 0.611 0.874 0.436 1
Sn33 Sn 0.889 0.825 0.764 1
Sn34 Sn 0.889 0.064 0.626 1
Sn35 Sn 0.874 0.264 0.439 1
Sn36 Sn 0.175 0.064 0.939 1
Sn37 Sn 0.626 0.564 0.889 1
Sn38 Sn 0.436 0.061 0.325 1
Sn39 Sn 0.264 0.389 0.825 1
Sn40 Sn 0.236 0.561 0.626 1
Sn41 Sn 0.936 0.111 0.874 1
Sn42 Sn 0.675 0.236 0.611 1
Sn43 Sn 0.439 0.764 0.874 1
Sn44 Sn 0.061 0.436 0.825 1
Sn45 Sn 0.389 0.264 0.325 1
Sn46 Sn 0.061 0.626 0.736 1
Sn47 Sn 0.675 0.439 0.564 1
Sn48 Sn 0.264 0.874 0.939 1

---

Record 3
# GGA-PBE CuIBr3, optimized geometry
# - N(E_F): 0.267 states/eV/atom
# - Symmetry: No. 13
# - Energy relative to the elements, uncorrected: -0.14 eV per atom
# - VASP energy: -2.27 eV per atom
data_CuIBr3
_chemical_formula_sum 'Cu4 I4 Br12'
_space_group_name_H-M_alt 'P 1'
_space_group_IT_number 1
_cell_length_a 7.211
_cell_length_b 9.315
_cell_length_c 13.268
_cell_angle_alpha 90.00
_cell_angle_beta 106.88
_cell_angle_gamma 90.00
loop_
_space_group_symop_operation_xyz
'x,y,z'
loop_
_atom_site_label
_atom_site_type_symbol
_atom_site_fract_x
_atom_site_fract_y
_atom_site_fract_z
_atom_site_occupancy
Cu1 Cu 0.003 0.437 0.124 1
Cu2 Cu 0.003 0.563 0.624 1
Cu3 Cu 0.997 0.437 0.376 1
Cu4 Cu 0.997 0.563 0.876 1
I1 I 0.170 0.885 0.345 1
I2 I 0.830 0.885 0.155 1
I3 I 0.170 0.115 0.845 1
I4 I 0.830 0.115 0.655 1
Br1 Br 0.727 0.118 0.453 1
Br2 Br 0.727 0.882 0.953 1
Br3 Br 0.243 0.610 0.789 1
Br4 Br 0.220 0.574 0.051 1
Br5 Br 0.243 0.390 0.289 1
Br6 Br 0.273 0.882 0.547 1
Br7 Br 0.780 0.574 0.449 1
Br8 Br 0.757 0.610 0.711 1
Br9 Br 0.780 0.426 0.949 1
Br10 Br 0.757 0.390 0.211 1
Br11 Br 0.273 0.118 0.047 1
Br12 Br 0.220 0.426 0.551 1

---

Record 4
# GGA-PBE LaSm2As, optimized geometry
# - N(E_F): 0.911 states/eV/atom
# - Symmetry: No. 166
# - Formation energy: -0.63 eV/atom
# - VASP energy: -5.38 eV per atom
data_LaSm2As
_chemical_formula_sum 'La1 Sm2 As1'
_space_group_name_H-M_alt 'P 1'
_space_group_IT_number 1
_cell_length_a 3.968
_cell_length_b 3.968
_cell_length_c 9.888
_cell_angle_alpha 78.42
_cell_angle_beta 78.42
_cell_angle_gamma 60.00
loop_
_space_group_symop_operation_xyz
'x,y,z'
loop_
_atom_site_label
_atom_site_type_symbol
_atom_site_fract_x
_atom_site_fract_y
_atom_site_fract_z
_atom_site_occupancy
As1 As 0.000 0.000 0.000 1
Sm1 Sm 0.273 0.273 0.182 1
Sm2 Sm 0.727 0.727 0.818 1
La1 La 0.500 0.500 0.500 1

---

Record 5
# GGA-PBE CsBa2Li, optimized geometry
# - N(E_F): 1.479 states/eV/atom
# - Symmetry: No. 166
# - Formation energy: 0.20 eV/atom
# - VASP energy: -1.45 eV per atom
data_CsBa2Li
_chemical_formula_sum 'Cs1 Ba2 Li1'
_space_group_name_H-M_alt 'P 1'
_space_group_IT_number 1
_cell_length_a 4.515
_cell_length_b 4.515
_cell_length_c 14.407
_cell_angle_alpha 80.98
_cell_angle_beta 80.98
_cell_angle_gamma 60.00
loop_
_space_group_symop_operation_xyz
'x,y,z'
loop_
_atom_site_label
_atom_site_type_symbol
_atom_site_fract_x
_atom_site_fract_y
_atom_site_fract_z
_atom_site_occupancy
Cs1 Cs 0.000 0.000 0.000 1
Ba1 Ba 0.104 0.104 0.688 1
Ba2 Ba 0.896 0.896 0.312 1
Li1 Li 0.500 0.500 0.500 1

---

Record 6
# GGA-PBE LaDy3Ag4, optimized geometry
# - N(E_F): 0.727 states/eV/atom
# - Symmetry: No. 123
# - Formation energy: -0.29 eV/atom
# - VASP energy: -4.06 eV per atom
data_LaDy3Ag4
_chemical_formula_sum 'La2 Dy6 Ag8'
_space_group_name_H-M_alt 'P 1'
_space_group_IT_number 1
_cell_length_a 5.210
_cell_length_b 7.374
_cell_length_c 10.423
_cell_angle_alpha 90.00
_cell_angle_beta 90.00
_cell_angle_gamma 90.00
loop_
_space_group_symop_operation_xyz
'x,y,z'
loop_
_atom_site_label
_atom_site_type_symbol
_atom_site_fract_x
_atom_site_fract_y
_atom_site_fract_z
_atom_site_occupancy
Dy1 Dy 0.000 0.000 0.000 1
Dy2 Dy 0.000 0.000 0.500 1
Dy3 Dy 0.500 0.000 0.750 1
Dy4 Dy 0.500 0.000 0.250 1
Dy5 Dy 0.500 0.500 0.750 1
Dy6 Dy 0.500 0.500 0.250 1
Ag1 Ag 0.500 0.765 0.000 1
Ag2 Ag 0.500 0.765 0.500 1
Ag3 Ag 0.500 0.235 0.000 1
Ag4 Ag 0.500 0.235 0.500 1
Ag5 Ag 0.000 0.765 0.750 1
Ag6 Ag 0.000 0.765 0.250 1
Ag7 Ag 0.000 0.235 0.250 1
Ag8 Ag 0.000 0.235 0.750 1
La1 La 0.000 0.500 0.000 1
La2 La 0.000 0.500 0.500 1